A relaxed BaReW2 crystal. Source: Alexandria, functional GGA-PBE.

Cell: 3.1863 3.1863 8.3971 Å, 90.00 90.00 90.00°
Positions (direct):
W  0.5000  0.5000  0.1754
W  0.0000  0.0000  0.9919
Ba  0.0000  0.0000  0.5078
Re  0.5000  0.5000  0.8248

Output
DFT total energy = -9.227 eV/atom
total magnetic moment = 0.00 μB per formula unit
energy of formation = 0.843 eV per atom
energy above the most stable polymorph in this dataset = 0 meV per atom